# 1
The following is a DFT calculation (PBE-GGA) of Mg4GaHg after structural relaxation.

Results
Energy above the lowest structure with this stoichiometry, meV per atom: 0.0
Total moment, μB per cell: 0.000

a b c (Å): 3.5484 5.7642 7.5079
angles (deg): 109.70 76.33 72.07
Closest atoms and distances in Å follow each position.
Atoms (fractional coordinates):
Ga: 0.5000 0.5000 0.5000  8 Mg 2.92-2.94
Hg: 0.0000 0.0000 0.0000  8 Mg 2.98-3.01
Mg: 0.3202 0.0242 0.3355  2 Ga 2.94, 2 Hg 2.98, 5 Mg 3.09-3.25
Mg: 0.1630 0.4945 0.1795  2 Ga 2.92, 2 Hg 3.01, 5 Mg 3.15-3.25
Mg: 0.6798 0.9758 0.6645  2 Ga 2.94, 2 Hg 2.98, 5 Mg 3.09-3.25
Mg: 0.8370 0.5055 0.8205  2 Ga 2.92, 2 Hg 3.01, 5 Mg 3.15-3.25

=====

# 2
The following is a DFT calculation (PBE-GGA) of Mg12Ga3Hg after structural relaxation.

Results
Total moment, μB per cell: 0.000

a b c (Å): 4.3561 4.3561 17.5372
angles (deg): 90.00 90.00 90.00
Closest atoms and distances in Å follow each position.
Atoms (fractional coordinates):
Mg: 0.0000 0.5000 0.8719  8 Mg 3.07-3.13, 2 Ga 3.07, 2 Hg 3.13
Ga: 0.0000 0.0000 0.7483  12 Mg 3.07-3.08
Ga: 0.0000 0.0000 0.2517  12 Mg 3.07-3.08
Mg: 0.5000 0.0000 0.3758  4 Ga 3.08, 8 Mg 3.08
Mg: 0.0000 0.5000 0.3758  4 Ga 3.08, 8 Mg 3.08
Mg: 0.0000 0.5000 0.6242  4 Ga 3.08, 8 Mg 3.08
Ga: 0.0000 0.0000 0.5000  12 Mg 3.08
Mg: 0.5000 0.5000 0.2517  8 Mg 3.07-3.08, 4 Ga 3.08
Mg: 0.5000 0.5000 0.0000  4 Hg 3.08, 8 Mg 3.13
Mg: 0.5000 0.5000 0.5000  4 Ga 3.08, 8 Mg 3.08
Mg: 0.5000 0.0000 0.6242  4 Ga 3.08, 8 Mg 3.08
Hg: 0.0000 0.0000 0.0000  12 Mg 3.08-3.13
Mg: 0.5000 0.0000 0.1281  8 Mg 3.07-3.13, 2 Ga 3.07, 2 Hg 3.13
Mg: 0.5000 0.0000 0.8719  8 Mg 3.07-3.13, 2 Ga 3.07, 2 Hg 3.13
Mg: 0.0000 0.5000 0.1281  8 Mg 3.07-3.13, 2 Ga 3.07, 2 Hg 3.13
Mg: 0.5000 0.5000 0.7483  8 Mg 3.07-3.08, 4 Ga 3.08

=====

# 3
The following is a DFT calculation (PBE-GGA) of Mg7Ga2Hg2 after structural relaxation.

Results
Energy above the lowest structure with this stoichiometry, meV per atom: 64.5
Total moment, μB per cell: 0.000

a b c (Å): 5.9680 7.6165 5.9680
angles (deg): 90.00 109.55 90.00
Closest atoms and distances in Å follow each position.
Atoms (fractional coordinates):
Mg: 0.5000 0.2979 0.0000  2 Hg 2.88, 2 Ga 2.92, 3 Mg 2.99-3.08
Mg: 0.0000 0.2979 0.5000  2 Hg 2.88, 2 Ga 2.92, 3 Mg 2.99-3.08
Ga: 0.8178 0.5000 0.8178  1 Ga 2.51
Mg: 0.0000 0.0000 0.0000  2 Hg 2.86
Mg: 0.5000 0.7021 0.0000  2 Hg 2.88, 2 Ga 2.92, 3 Mg 2.99-3.08
Mg: 0.5000 0.7349 0.5000  2 Ga 2.83, 2 Hg 2.85, 4 Mg 2.99
Ga: 0.1822 0.5000 0.1822  1 Ga 2.51
Hg: 0.2937 0.0000 0.7063  7 Mg 2.85-2.88
Hg: 0.7063 0.0000 0.2937  7 Mg 2.85-2.88
Mg: 0.5000 0.2651 0.5000  2 Ga 2.83, 2 Hg 2.85, 4 Mg 2.99
Mg: 0.0000 0.7021 0.5000  2 Hg 2.88, 2 Ga 2.92, 3 Mg 2.99-3.08

=====

# 4
The following is a DFT calculation (PBE-GGA) of Mg3GaHg after structural relaxation.

Results
Energy above the lowest structure with this stoichiometry, meV per atom: 24.4
Total moment, μB per cell: 0.000

a b c (Å): 4.6473 5.7865 8.3626
angles (deg): 90.00 74.36 90.00
Closest atoms and distances in Å follow each position.
Atoms (fractional coordinates):
Ga: 0.0619 0.7500 0.8809  9 Mg 2.89-3.05
Mg: 0.3232 0.2500 0.3450  4 Hg 2.87-3.00, 2 Ga 2.93-2.97, 2 Mg 3.13
Mg: 0.5000 0.5000 0.0000  4 Ga 2.89-2.92, 4 Mg 2.89-3.13
Hg: 0.2813 0.7500 0.4442  6 Mg 2.84-3.00
Mg: 0.8826 0.7500 0.2393  2 Hg 2.84-2.86, 3 Ga 2.89-3.05
Mg: 0.1174 0.2500 0.7607  2 Hg 2.84-2.86, 3 Ga 2.89-3.05
Hg: 0.7187 0.2500 0.5558  6 Mg 2.84-3.00
Mg: 0.5000 0.0000 0.0000  4 Ga 2.89-2.92, 4 Mg 2.89-3.13
Ga: 0.9381 0.2500 0.1191  9 Mg 2.89-3.05
Mg: 0.6768 0.7500 0.6550  4 Hg 2.87-3.00, 2 Ga 2.93-2.97, 2 Mg 3.13

=====

# 5
The following is a DFT calculation (PBE-GGA) of Mg3GaHg after structural relaxation.

Results
Energy above the lowest structure with this stoichiometry, meV per atom: 0.0
Total moment, μB per cell: 0.000

a b c (Å): 3.6089 8.3658 5.1085
angles (deg): 89.54 135.34 101.74
Closest atoms and distances in Å follow each position.
Atoms (fractional coordinates):
Mg: 0.2955 0.9509 0.6234  4 Ga 2.96-3.07, 4 Hg 3.00-3.10, 2 Mg 3.03-3.21
Mg: 0.6788 0.3287 0.8157  4 Ga 2.88-2.92, 5 Mg 3.03-3.12
Ga: 0.5075 0.1537 0.2313  9 Mg 2.88-3.19
Mg: 0.8943 0.5511 0.4220  4 Hg 2.94-2.98, 5 Mg 3.08-3.21, 1 Ga 3.19
Hg: 0.0777 0.7405 0.0128  8 Mg 2.94-3.10

=====

# 6
The following is a DFT calculation (PBE-GGA) of Mg3GaHg3 after structural relaxation.

Results
Energy above the lowest structure with this stoichiometry, meV per atom: 0.0
Total moment, μB per cell: 0.000

a b c (Å): 6.9278 6.9278 6.4121
angles (deg): 90.00 90.00 91.07
Closest atoms and distances in Å follow each position.
Atoms (fractional coordinates):
Ga: 0.2568 0.2568 0.0000  6 Mg 2.93, 4 Hg 2.96-3.21
Hg: 0.7053 0.2947 0.5000  4 Mg 2.96, 4 Hg 3.13-3.22
Mg: 0.0000 0.0000 0.7583  2 Ga 2.93, 2 Hg 2.98, 1 Mg 3.10
Mg: 0.0000 0.5000 0.2447  2 Ga 2.93, 6 Hg 2.96-2.97, 2 Mg 3.14-3.27
Mg: 0.0000 0.5000 0.7553  2 Ga 2.93, 6 Hg 2.96-2.97, 2 Mg 3.14-3.27
Hg: 0.2947 0.7053 0.5000  4 Mg 2.96, 4 Hg 3.13-3.22
Mg: 0.5000 0.0000 0.7553  2 Ga 2.93, 6 Hg 2.96-2.97, 2 Mg 3.14-3.27
Hg: 0.2548 0.2548 0.5000  6 Mg 2.97-2.98, 2 Hg 3.13, 2 Ga 3.21
Ga: 0.7432 0.7432 0.0000  6 Mg 2.93, 4 Hg 2.96-3.21
Hg: 0.6809 0.3191 0.0000  2 Ga 2.96, 4 Mg 2.97, 2 Hg 3.22
Hg: 0.3191 0.6809 0.0000  2 Ga 2.96, 4 Mg 2.97, 2 Hg 3.22
Hg: 0.7452 0.7452 0.5000  6 Mg 2.97-2.98, 2 Hg 3.13, 2 Ga 3.21
Mg: 0.0000 0.0000 0.2417  2 Ga 2.93, 2 Hg 2.98, 1 Mg 3.10
Mg: 0.5000 0.0000 0.2447  2 Ga 2.93, 6 Hg 2.96-2.97, 2 Mg 3.14-3.27

=====

# 7
The following is a DFT calculation (PBE-GGA) of Mg2GaHg after structural relaxation.

Results
Total moment, μB per cell: 0.000

a b c (Å): 4.0695 4.4682 4.4682
angles (deg): 90.00 90.00 90.00
Closest atoms and distances in Å follow each position.
Atoms (fractional coordinates):
Hg: 0.5000 0.5000 0.5000  8 Mg 3.02, 4 Ga 3.16
Ga: 0.5000 0.0000 0.0000  8 Mg 3.02, 4 Hg 3.16
Mg: 0.0000 0.0000 0.5000  4 Hg 3.02, 4 Ga 3.02, 4 Mg 3.16
Mg: 0.0000 0.5000 0.0000  4 Hg 3.02, 4 Ga 3.02, 4 Mg 3.16

=====

# 8
The following is a DFT calculation (PBE-GGA) of MgGa2Hg after structural relaxation.

Results
Energy above the lowest structure with this stoichiometry, meV per atom: 99.1
Total moment, μB per cell: 0.000

a b c (Å): 4.9190 4.9190 4.9190
angles (deg): 60.00 60.00 60.00
Closest atoms and distances in Å follow each position.
Atoms (fractional coordinates):
Ga: 0.7500 0.7500 0.7500  4 Mg 3.01, 4 Hg 3.01
Mg: 0.0000 0.0000 0.0000  8 Ga 3.01
Ga: 0.2500 0.2500 0.2500  4 Hg 3.01, 4 Mg 3.01
Hg: 0.5000 0.5000 0.5000  8 Ga 3.01

=====

# 9
The following is a DFT calculation (PBE-GGA) of MgGa2Hg2 after structural relaxation.

Results
Energy above the lowest structure with this stoichiometry, meV per atom: 54.2
Total moment, μB per cell: 0.000

a b c (Å): 3.7633 3.7633 8.4262
angles (deg): 77.10 77.10 90.00
Closest atoms and distances in Å follow each position.
Atoms (fractional coordinates):
Ga: 0.7500 0.2500 0.5000  4 Ga 2.66
Mg: 0.0000 0.0000 0.0000  8 Hg 3.09
Hg: 0.5976 0.5976 0.8048  4 Ga 3.08, 4 Mg 3.09, 1 Hg 3.12
Ga: 0.2500 0.7500 0.5000  4 Ga 2.66
Hg: 0.4024 0.4024 0.1952  4 Ga 3.08, 4 Mg 3.09, 1 Hg 3.12

=====

# 10
The following is a DFT calculation (PBE-GGA) of Mg5Ga2Hg2 after structural relaxation.

Results
Total moment, μB per cell: 0.000

a b c (Å): 7.2169 7.2430 8.2556
angles (deg): 116.02 90.00 90.00
Closest atoms and distances in Å follow each position.
Atoms (fractional coordinates):
Mg: 0.5000 0.5000 0.0000  4 Ga 2.83-2.86, 2 Hg 3.17
Mg: 0.3258 0.9573 0.2622  3 Ga 2.81-2.94, 3 Hg 2.91-2.94
Mg: 0.6742 0.0427 0.7378  3 Ga 2.81-2.94, 3 Hg 2.91-2.94
Mg: 0.8258 0.8049 0.2622  3 Ga 2.81-2.94, 3 Hg 2.91-2.94
Ga: 0.3716 0.1268 0.0000  1 Ga 2.61, 4 Mg 2.81-2.86
Hg: 0.5000 0.7138 0.4277  7 Mg 2.91-3.17
Mg: 0.3258 0.6951 0.7378  3 Ga 2.81-2.94, 3 Hg 2.91-2.94
Hg: 0.0000 0.2138 0.4277  7 Mg 2.91-3.17
Mg: 0.0000 0.0000 0.0000  4 Ga 2.83-2.86, 2 Hg 3.17
Ga: 0.1284 0.6268 0.0000  1 Ga 2.61, 4 Mg 2.81-2.86
Ga: 0.8716 0.3732 0.0000  1 Ga 2.61, 4 Mg 2.81-2.86
Mg: 0.8258 0.5427 0.7378  3 Ga 2.81-2.94, 3 Hg 2.91-2.94
Ga: 0.6284 0.8732 0.0000  1 Ga 2.61, 4 Mg 2.81-2.86
Mg: 0.1742 0.4573 0.2622  3 Ga 2.81-2.94, 3 Hg 2.91-2.94
Hg: 0.5000 0.2862 0.5723  7 Mg 2.91-3.17
Mg: 0.6742 0.3049 0.2622  3 Ga 2.81-2.94, 3 Hg 2.91-2.94
Mg: 0.1742 0.1951 0.7378  3 Ga 2.81-2.94, 3 Hg 2.91-2.94
Hg: 0.0000 0.7862 0.5723  7 Mg 2.91-3.17

=====

Number 1: N(E_F) 1.43 states/eV/cell, formation enthalpy at 0 K -124 meV per atom. Number 2: N(E_F) 6.59 states/eV/cell, formation enthalpy at 0 K -97 meV per atom. Number 3: N(E_F) 3.09 states/eV/cell, formation enthalpy at 0 K -56 meV per atom. Number 4: N(E_F) 4.02 states/eV/cell, formation enthalpy at 0 K -118 meV per atom. Number 5: N(E_F) 1.24 states/eV/cell, formation enthalpy at 0 K -143 meV per atom. Number 6: N(E_F) 6.22 states/eV/cell, formation enthalpy at 0 K -134 meV per atom. Number 7: N(E_F) 1.95 states/eV/cell, formation enthalpy at 0 K -151 meV per atom. Number 8: N(E_F) 1.08 states/eV/cell, formation enthalpy at 0 K 32 meV per atom. Number 9: N(E_F) 2.51 states/eV/cell, formation enthalpy at 0 K 19 meV per atom. Number 10: N(E_F) 5.12 states/eV/cell, formation enthalpy at 0 K -159 meV per atom.